Record 1
BO GGA-PBE relaxed; energy relative to the elements, uncorrected = -0.73 eV per atom; space-group type = Pm (6); magnetic moment = 0.00 μB/f.u.
1.0
2.5790 0.0000 0.0000
0.0000 2.4528 0.0000
-1.0330 0.0000 3.7044
B O
1 1
Cartesian
0.0000 0.0000 0.0000
1.5478 1.2264 3.1160

Record 2
BO GGA-PBE relaxed; energy relative to the elements, uncorrected = -1.65 eV per atom; space-group type = P6_3/m (176); magnetic moment = 0.00 μB/f.u.
1.0
8.9118 0.0000 0.0000
-4.4559 7.7178 0.0000
0.0000 0.0000 2.4308
B O
6 6
Cartesian
-0.3966 4.1526 0.6077
-0.6614 5.9851 0.6077
1.0580 5.2981 0.6077
3.3979 2.4198 1.8231
5.1173 1.7328 1.8231
4.8525 3.5653 1.8231
-0.6438 3.5518 1.8231
-1.0581 6.4995 1.8231
2.7540 2.3334 0.6077
1.7019 5.3844 1.8231
5.5140 1.2183 0.6077
5.0997 4.1661 0.6077

Record 3
B4O5 GGA-PBE relaxed; energy relative to the elements, uncorrected = -1.35 eV per atom; space-group type = Imm2 (44); magnetic moment = 2.00 μB/f.u.
1.0
-3.1459 4.0850 2.8291
3.1459 -4.0850 2.8291
3.1459 4.0850 -2.8291
B O
4 5
Cartesian
0.0000 1.8379 0.0000
0.0000 6.3320 0.0000
2.1471 4.0850 1.9217
0.9988 0.0000 4.7508
1.2177 1.2273 -0.2628
5.0741 1.2273 -0.2628
0.0000 0.0000 3.7608
-1.9282 2.8577 2.5662
1.9282 2.8577 2.5662

- energy relative to the elements, uncorrected of number 1 (BO)?
  -0.73 eV per atom

- magnetic moment of number 3 (B4O5)?
  2.00 μB/f.u.

- What is the energy relative to the elements, uncorrected in the second record?
  -1.65 eV per atom

- The highest energy relative to the elements, uncorrected belongs to which entry?
  number 1